(1)
Below is Mn2RuBr at its PBEsol-relaxed geometry, with properties calculated at the SCAN level.

For the energy above the most stable polymorph in this dataset, the calculation gives 0.464 eV per atom. The value obtained for the total energy is -22.31 eV per atom. As for the formation energy without anion corrections: 0.384 eV/atom. Its total magnetization is 2.257 μB/atom.

It has space group P4/mmm (No. 123), with a = 4.4815 Å, b = 4.4815 Å, c = 3.0188 Å, α = 90.00°, β = 90.00° and γ = 90.00°. The inequivalent atoms are Mn at (0.0000, 0.5000, 0.0000), Ru at (0.0000, 0.0000, 0.5000) and Br at (0.5000, 0.5000, 0.5000).

=====

(2)
Below is Mn2RuBr at its PBEsol-relaxed geometry, with properties calculated at the SCAN level.

For the energy above the most stable polymorph in this dataset, the calculation gives 0.572 eV per atom. The value obtained for the total energy is -22.21 eV per atom. As for the formation energy without anion corrections: 0.493 eV/atom. Its total magnetization is 0.037 μB/atom.

It has space group F-43m (No. 216), with a = 6.1326 Å, b = 6.1326 Å, c = 6.1326 Å, α = 90.00°, β = 90.00° and γ = 90.00°. The inequivalent atoms are Mn at (0.0000, 0.0000, 0.0000), Mn at (0.2500, 0.2500, 0.2500), Ru at (0.0000, 0.0000, 0.5000) and Br at (0.2500, 0.2500, 0.7500).

=====

(3)
Below is Mn2RuBr at its PBEsol-relaxed geometry, with properties calculated at the SCAN level.

For the energy above the most stable polymorph in this dataset, the calculation gives 0.358 eV per atom. The value obtained for the total energy is -22.42 eV per atom. As for the formation energy without anion corrections: 0.279 eV/atom. Its total magnetization is 1.414 μB/atom.

It has space group P4mm (No. 99), with a = 2.9712 Å, b = 2.9712 Å, c = 6.6185 Å, α = 90.00°, β = 90.00° and γ = 90.00°. The inequivalent atoms are Mn at (0.0000, 0.0000, 0.0000), Mn at (0.5000, 0.5000, 0.2361), Ru at (0.0000, 0.0000, 0.4244) and Br at (0.5000, 0.5000, 0.7440).

=====

(4)
Below is MnRuBr2 at its PBEsol-relaxed geometry, with properties calculated at the SCAN level.

For the energy above the most stable polymorph in this dataset, the calculation gives 0.045 eV per atom. The value obtained for the total energy is -22.89 eV per atom. As for the formation energy without anion corrections: 0.106 eV/atom. Its total magnetization is 0.609 μB/atom.

It has space group P4mm (No. 99), with a = 3.0901 Å, b = 3.0901 Å, c = 7.8453 Å, α = 90.00°, β = 90.00° and γ = 90.00°. The inequivalent atoms are Mn at (0.0000, 0.0000, 0.0000), Ru at (0.5000, 0.5000, 0.1884), Br at (0.0000, 0.0000, 0.3993) and Br at (0.5000, 0.5000, 0.7942).

=====

(5)
Below is MnRuBr2 at its PBEsol-relaxed geometry, with properties calculated at the SCAN level.

For the energy above the most stable polymorph in this dataset, the calculation gives 0.000 eV per atom. The value obtained for the total energy is -22.94 eV per atom. As for the formation energy without anion corrections: 0.061 eV/atom. Its total magnetization is 1.257 μB/atom.

It has space group Imm2 (No. 44), with a = 3.1979 Å, b = 3.6636 Å, c = 14.5917 Å, α = 90.00°, β = 90.00° and γ = 90.00°. The inequivalent atoms are Mn at (0.0000, 0.0000, 0.0000), Ru at (0.0000, 0.5000, 0.6366), Br at (0.0000, 0.0000, 0.4141) and Br at (0.0000, 0.5000, 0.1847).

=====

(6)
Below is MnSBr3 at its PBEsol-relaxed geometry, with properties calculated at the SCAN level.

The value obtained for the total energy is -17.05 eV per atom. As for the formation energy without anion corrections: 0.206 eV/atom. Its total magnetization is 1.138 μB/atom.

It has space group Pm-3m (No. 221), with a = 5.1053 Å, b = 5.1053 Å, c = 5.1053 Å, α = 90.00°, β = 90.00° and γ = 90.00°. The inequivalent atoms are Mn at (0.0000, 0.0000, 0.0000), S at (0.5000, 0.5000, 0.5000) and Br at (0.0000, 0.5000, 0.5000).

=====

(7)
Below is MnSbS2Br at its PBEsol-relaxed geometry, with properties calculated at the SCAN level.

The value obtained for the total energy is -19.59 eV per atom. As for the formation energy without anion corrections: -0.742 eV/atom. Its total magnetization is 1.000 μB/atom.

It has space group C2/m (No. 12), with a = 12.3943 Å, b = 3.8109 Å, c = 9.2910 Å, α = 90.00°, β = 91.55° and γ = 90.00°. The inequivalent atoms are Mn at (0.0000, 0.0000, 0.0000), Mn at (0.0000, 0.0000, 0.5000), Sb at (0.2141, 0.5000, 0.3049), S at (0.0728, 0.0000, 0.2565), S at (0.1385, 0.5000, 0.5538) and Br at (0.1357, 0.5000, 0.9328).

=====

(8)
Below is MnW2SBr at its PBEsol-relaxed geometry, with properties calculated at the SCAN level.

The value obtained for the total energy is -35.77 eV per atom. As for the formation energy without anion corrections: 1.577 eV/atom. Its total magnetization is 0.000 μB/atom.

It has space group P4/mmm (No. 123), with a = 4.6337 Å, b = 4.6337 Å, c = 4.0095 Å, α = 90.00°, β = 90.00° and γ = 90.00°. The inequivalent atoms are Mn at (0.0000, 0.0000, 0.0000), W at (0.0000, 0.5000, 0.0000), S at (0.0000, 0.0000, 0.5000) and Br at (0.5000, 0.5000, 0.5000).

=====

What is the formation energy without anion corrections in the first record?
0.384 eV/atom

=====

What is the formula in the first record?
Mn2RuBr

=====

formation energy without anion corrections of number 6 (MnSBr3)?
0.206 eV/atom

=====

Which of these has the highest formation energy without anion corrections?
MnW2SBr